## a
# Tb8Ga2Ru

Tb8Ga2Ru after structural relaxation (PBE, Alexandria).

Geometry as extended XYZ:
```
11
Lattice="-0.460 2.650 -4.022 -3.929 -6.409 -3.773 -4.066 4.341 6.236" Properties=species:S:1:pos:R:3 pbc="T T T"
Ru -0.230 1.325 -2.011
Tb -5.065 -2.542 -4.005
Tb -5.159 0.237 0.747
Tb -1.528 0.601 0.571
Tb -1.282 -2.091 -1.231
Tb -6.927 -0.019 -2.130
Tb -3.296 0.344 -2.306
Tb -3.390 3.124 2.446
Tb -7.173 2.673 -0.328
Ga -4.384 -2.254 -0.983
Ga -4.071 2.835 -0.576
```

Summary:
- ρ: 8.66 g/cm³

=====

## b
# Tb8Ga2Ru

Tb8Ga2Ru after structural relaxation (PBE, Alexandria).

Geometry as extended XYZ:
```
11
Lattice="5.056 0.000 0.000 0.000 6.699 0.374 -2.528 -2.413 8.527" Properties=species:S:1:pos:R:3 pbc="T T T"
Tb 0.000 1.767 7.202
Tb 2.528 5.683 2.977
Tb 2.528 3.229 5.320
Tb 2.528 -0.823 8.197
Tb 0.000 1.057 3.580
Tb 0.000 -1.397 5.924
Tb 2.528 2.519 1.699
Tb 0.000 5.109 0.703
Ga 2.528 0.263 5.345
Ga 0.000 4.022 3.555
Ru 2.528 0.000 0.000
```

Summary:
- ρ: 8.56 g/cm³

=====

Most favorable structure: b. The second most favorable one is 0.105 eV/atom above it.

=====

## a
# Tb2Ga2Ru

Tb2Ga2Ru after structural relaxation (PBE, Alexandria).

Geometry as extended XYZ:
```
10
Lattice="-0.856 1.981 -3.886 1.491 -6.416 -3.598 -6.219 -2.830 2.469" Properties=species:S:1:pos:R:3 pbc="T T T"
Tb -5.646 -5.387 -4.044
Tb -3.338 -2.334 -2.996
Tb -1.891 -6.457 -2.874
Tb -0.020 -1.525 -0.773
Ga -4.897 -4.328 -1.127
Ga -4.928 -0.403 -1.662
Ga -1.337 -3.932 -1.710
Ga -0.134 -5.315 -5.221
Ru -5.358 -2.070 0.125
Ru -0.715 -3.090 -3.960
```

Summary:
- ρ: 8.04 g/cm³

=====

## b
# Tb2Ga2Ru

Tb2Ga2Ru after structural relaxation (PBE, Alexandria).

Geometry as extended XYZ:
```
10
Lattice="-2.297 -2.275 3.002 1.298 -5.477 0.085 5.420 0.701 7.920" Properties=species:S:1:pos:R:3 pbc="T T T"
Tb 0.644 -3.049 4.666
Tb 3.049 -2.950 9.823
Tb 3.777 -4.002 6.341
Tb 1.372 -4.100 1.185
Ga 3.248 -1.270 4.765
Ga 4.456 -5.549 8.930
Ga 1.173 -5.781 6.242
Ga -0.035 -1.502 2.077
Ru 2.029 -1.441 6.944
Ru 2.392 -5.610 4.063
```

Summary:
- ρ: 8.67 g/cm³

=====

Most favorable structure: b. The second most favorable one is 0.166 eV/atom above it.

=====

## a
# TbGa3Ru

TbGa3Ru after structural relaxation (PBE, Alexandria).

Geometry as extended XYZ:
```
10
Lattice="-0.382 6.299 3.443 -3.313 5.586 -3.082 -5.070 2.712 1.981" Properties=species:S:1:pos:R:3 pbc="T T T"
Tb -6.243 6.693 2.073
Tb -2.522 7.904 0.269
Ga -4.582 5.137 0.108
Ga -3.674 7.371 3.481
Ga -3.006 5.492 1.997
Ga -5.091 7.226 -1.139
Ga -4.184 9.460 2.234
Ga -5.759 9.105 0.344
Ru -4.051 3.044 1.487
Ru -4.714 11.553 0.855
```

Summary:
- ρ: 7.83 g/cm³

=====

## b
# TbGa3Ru

TbGa3Ru after structural relaxation (PBE, Alexandria).

Geometry as extended XYZ:
```
15
Lattice="-0.885 -3.812 -5.118 -2.370 -4.601 3.837 -5.925 2.410 -0.770" Properties=species:S:1:pos:R:3 pbc="T T T"
Tb -1.627 -4.206 -0.641
Tb -3.405 -0.701 -2.944
Tb -4.148 -1.096 1.533
Ga -4.590 -3.002 -1.026
Ga -5.362 0.129 -0.878
Ga -3.306 -3.927 1.787
Ga -2.447 -3.470 -3.393
Ga -7.245 -4.738 -1.619
Ga -3.818 -6.132 -1.174
Ga -5.874 -2.076 -3.839
Ga -6.734 -2.533 1.341
Ga -1.935 -1.265 -0.432
Ru -2.963 1.205 -0.385
Ru -1.185 -2.301 1.918
Ru -0.442 -1.906 -2.559
```

Summary:
- ρ: 8.74 g/cm³

=====

Most favorable structure: b. The second most favorable one is 0.343 eV/atom above it.

=====

## a
# TbZnGaRu

TbZnGaRu after structural relaxation (PBE, Alexandria).

Geometry as extended XYZ:
```
4
Lattice="-1.207 4.208 1.486 -2.208 0.482 4.033 2.177 1.887 3.616" Properties=species:S:1:pos:R:3 pbc="T T T"
Ru -0.310 1.644 2.284
Zn 0.000 0.000 0.000
Tb -0.929 4.933 6.852
Ga -0.619 3.289 4.568
```

Summary:
- ρ: 9.39 g/cm³

=====

## b
# TbZnGaRu

TbZnGaRu after structural relaxation (PBE, Alexandria).

Geometry as extended XYZ:
```
4
Lattice="-0.326 -2.762 3.247 -2.519 -3.436 -0.361 2.801 -4.625 -0.838" Properties=species:S:1:pos:R:3 pbc="T T T"
Tb -0.770 -7.614 1.890
Zn 2.502 -4.421 -0.694
Ga -1.161 -4.634 1.571
Ru -0.377 -2.456 0.688
```

Summary:
- ρ: 8.49 g/cm³

=====

Most favorable structure: b. The second most favorable one is 0.061 eV/atom above it.

=====

## a
# TiGaTcRu

TiGaTcRu after structural relaxation (PBE, Alexandria).

Geometry as extended XYZ:
```
4
Lattice="-2.236 1.225 -1.811 1.803 -1.780 -3.430 -2.408 -3.546 0.574" Properties=species:S:1:pos:R:3 pbc="T T T"
Ti 0.000 0.000 0.000
Ga -0.303 -2.663 -1.428
Tc -0.216 -0.277 -2.621
Ru -2.322 -1.160 -0.619
```

Summary:
- ρ: 9.12 g/cm³

=====

## b
# TiGaTcRu

TiGaTcRu after structural relaxation (PBE, Alexandria).

Geometry as extended XYZ:
```
4
Lattice="-1.553 -3.286 -2.378 2.686 -3.088 -1.453 -0.179 -4.001 1.680" Properties=species:S:1:pos:R:3 pbc="T T T"
Ru 0.000 0.000 0.000
Tc 0.477 -5.187 -1.076
Ga 0.716 -7.781 -1.614
Ti 0.239 -2.594 -0.538
```

Summary:
- ρ: 9.08 g/cm³

=====

Most favorable structure: a. The second most favorable one is 0.024 eV/atom above it.

=====

## a
# VGaTcRu

VGaTcRu after structural relaxation (PBE, Alexandria).

Geometry as extended XYZ:
```
4
Lattice="3.034 0.000 0.000 0.000 3.034 0.000 0.000 0.000 6.054" Properties=species:S:1:pos:R:3 pbc="T T T"
V 1.517 1.517 0.661
Ga 1.517 1.517 3.688
Tc 0.000 0.000 2.114
Ru 0.000 0.000 5.209
```

Summary:
- ρ: 9.52 g/cm³

=====

## b
# VGaTcRu

VGaTcRu after structural relaxation (PBE, Alexandria).

Geometry as extended XYZ:
```
4
Lattice="-2.327 -3.569 0.443 1.630 -3.376 2.072 -1.530 -1.095 3.848" Properties=species:S:1:pos:R:3 pbc="T T T"
Ru -1.670 -6.030 4.772
Tc -0.557 -2.010 1.591
Ga 0.000 0.000 0.000
V -1.113 -4.020 3.181
```

Summary:
- ρ: 9.56 g/cm³

=====

Most favorable structure: b. The second most favorable one is 0.019 eV/atom above it.

=====

## a
# Ga2TeRu2

Ga2TeRu2 after structural relaxation (PBE, Alexandria).

Geometry as extended XYZ:
```
10
Lattice="-3.935 6.041 1.596 -1.688 -2.844 6.603 2.521 1.322 1.214" Properties=species:S:1:pos:R:3 pbc="T T T"
Ru -2.770 -0.327 6.110
Ru -4.425 3.220 5.686
Ru -2.853 3.524 2.089
Ru -1.198 -0.023 2.513
Te 0.000 0.000 0.000
Te -2.811 1.599 4.099
Ga -0.350 -0.325 5.026
Ga -2.701 2.050 7.325
Ga -2.751 4.844 4.386
Ga -0.400 2.470 2.088
```

Summary:
- ρ: 9.23 g/cm³

=====

## b
# Ga2TeRu2

Ga2TeRu2 after structural relaxation (PBE, Alexandria).

Geometry as extended XYZ:
```
5
Lattice="-4.049 1.964 -0.692 -0.809 -0.089 4.479 -0.547 4.965 2.314" Properties=species:S:1:pos:R:3 pbc="T T T"
Ru -3.512 3.933 1.757
Ru -1.892 2.907 4.343
Te 0.000 0.000 0.000
Ga -1.889 2.093 2.014
Ga -3.516 4.747 4.087
```

Summary:
- ρ: 8.42 g/cm³

=====

Most favorable structure: a. The second most favorable one is 0.319 eV/atom above it.

=====

## a
# Th2GaRu3

Th2GaRu3 after structural relaxation (PBE, Alexandria).

Geometry as extended XYZ:
```
6
Lattice="-3.832 -1.768 -0.538 0.668 -2.804 4.463 -0.673 6.303 0.898" Properties=species:S:1:pos:R:3 pbc="T T T"
Th -2.751 0.602 0.790
Th -1.087 1.128 4.034
Ga 0.334 -1.402 2.232
Ru -1.677 2.987 2.127
Ru 0.000 0.000 0.000
Ru -2.160 -1.256 2.697
```

Summary:
- ρ: 11.34 g/cm³

=====

## b
# Th2GaRu3

Th2GaRu3 after structural relaxation (PBE, Alexandria).

Geometry as extended XYZ:
```
6
Lattice="4.747 -0.090 2.081 1.325 4.559 2.081 -0.123 -0.090 5.182" Properties=species:S:1:pos:R:3 pbc="T T T"
Th 2.174 1.600 3.414
Th 3.775 2.779 5.930
Ga 0.000 0.000 0.000
Ru -0.061 -0.045 2.591
Ru 2.374 -0.045 1.040
Ru 0.662 2.280 1.040
```

Summary:
- ρ: 12.13 g/cm³

=====

Most favorable structure: b. The second most favorable one is 0.273 eV/atom above it.

=====

## a
# Tl3GaRu

Tl3GaRu after structural relaxation (PBE, Alexandria).

Geometry as extended XYZ:
```
5
Lattice="5.339 0.000 0.000 0.000 5.339 0.000 0.000 0.000 5.339" Properties=species:S:1:pos:R:3 pbc="T T T"
Ru 2.669 2.669 2.669
Tl 0.000 2.669 0.000
Tl 0.000 0.000 2.669
Tl 2.669 0.000 0.000
Ga 0.000 0.000 0.000
```

Summary:
- ρ: 8.55 g/cm³

=====

## b
# Tl3GaRu

Tl3GaRu after structural relaxation (PBE, Alexandria).

Geometry as extended XYZ:
```
5
Lattice="-4.711 -2.240 -0.883 1.148 -0.383 -5.150 2.117 -4.777 0.827" Properties=species:S:1:pos:R:3 pbc="T T T"
Ru 0.000 0.000 0.000
Tl 0.574 -0.192 -2.575
Tl 1.058 -2.389 0.414
Tl -2.355 -1.120 -0.442
Ga -0.723 -3.700 -2.603
```

Summary:
- ρ: 8.79 g/cm³

=====

Most favorable structure: b. The second most favorable one is 0.752 eV/atom above it.

=====

## a
# TlGa2Ru

TlGa2Ru after structural relaxation (PBE, Alexandria).

Geometry as extended XYZ:
```
8
Lattice="-0.463 1.457 -3.889 -3.919 -1.450 -0.077 -5.173 7.888 1.325" Properties=species:S:1:pos:R:3 pbc="T T T"
Ru -2.191 0.004 -1.983
Ru -5.641 3.221 -0.367
Tl 0.000 0.000 0.000
Tl -3.913 4.674 -2.274
Ga -2.041 2.603 -1.846
Ga -3.831 1.347 -0.466
Ga -5.788 5.821 -0.499
Ga -7.448 6.021 -2.471
```

Summary:
- ρ: 9.34 g/cm³

=====

## b
# TlGa2Ru

TlGa2Ru after structural relaxation (PBE, Alexandria).

Geometry as extended XYZ:
```
4
Lattice="-1.668 -4.413 -0.041 -3.853 -1.043 -2.516 0.370 -2.626 -3.902" Properties=species:S:1:pos:R:3 pbc="T T T"
Ru 0.000 0.000 0.000
Tl -2.575 -4.041 -3.230
Ga -1.288 -2.020 -1.615
Ga -3.863 -6.061 -4.845
```

Summary:
- ρ: 9.95 g/cm³

=====

Most favorable structure: a. The second most favorable one is 0.095 eV/atom above it.

=====

## a
# Tm3GaRu

Tm3GaRu after structural relaxation (PBE, Alexandria).

Geometry as extended XYZ:
```
20
Lattice="6.593 -0.077 -0.058 0.399 8.900 0.071 0.399 2.582 8.518" Properties=species:S:1:pos:R:3 pbc="T T T"
Tm 4.757 9.751 8.325
Tm 5.931 0.626 1.500
Tm 2.634 1.655 0.206
Tm 1.460 10.779 7.031
Tm 5.319 3.772 0.201
Tm 5.368 10.108 4.940
Tm 2.071 7.633 8.330
Tm 2.023 1.297 3.590
Tm 4.471 6.600 5.642
Tm 6.216 4.090 3.764
Tm 2.920 4.805 2.889
Tm 1.175 7.315 4.766
Ga 2.047 7.602 1.766
Ga 5.344 3.803 6.764
Ga 2.047 4.525 5.880
Ga 5.344 6.880 2.651
Ru 6.431 8.381 6.721
Ru 4.257 2.552 2.361
Ru 0.960 3.025 1.810
Ru 3.134 8.853 6.170
```

Summary:
- ρ: 9.02 g/cm³

=====

## b
# Tm3GaRu

Tm3GaRu after structural relaxation (PBE, Alexandria).

Geometry as extended XYZ:
```
10
Lattice="0.000 4.653 7.838 3.163 0.000 7.838 3.163 4.653 0.000" Properties=species:S:1:pos:R:3 pbc="T T T"
Tm 3.163 4.653 4.780
Tm 3.163 4.653 10.896
Tm 3.163 7.603 6.156
Tm 3.163 1.703 9.521
Tm 3.163 1.703 6.156
Tm 3.163 7.603 9.521
Ga 4.404 4.653 7.838
Ga 1.921 4.653 7.838
Ru 1.581 2.326 3.919
Ru 4.744 6.979 11.757
```

Summary:
- ρ: 9.76 g/cm³

=====

Most favorable structure: b. The second most favorable one is 0.174 eV/atom above it.

=====

## a
# TmGa3Ru2

TmGa3Ru2 after structural relaxation (PBE, Alexandria).

Geometry as extended XYZ:
```
12
Lattice="5.353 0.000 0.000 -2.677 4.636 0.000 0.000 0.000 8.295" Properties=species:S:1:pos:R:3 pbc="T T T"
Tm 0.000 0.000 4.147
Tm 0.000 0.000 0.000
Ga 2.693 0.000 2.074
Ga -1.330 2.303 6.221
Ga 2.660 0.000 6.221
Ga 1.330 2.303 2.074
Ga -1.347 2.332 2.074
Ga 1.347 2.332 6.221
Ru 2.677 1.545 4.147
Ru 0.000 3.091 0.000
Ru 0.000 3.091 4.147
Ru 2.677 1.545 0.000
```

Summary:
- ρ: 9.36 g/cm³

=====

## b
# TmGa3Ru2

TmGa3Ru2 after structural relaxation (PBE, Alexandria).

Geometry as extended XYZ:
```
12
Lattice="5.824 0.000 0.000 0.000 5.991 0.596 0.000 -1.415 5.852" Properties=species:S:1:pos:R:3 pbc="T T T"
Tm 1.456 1.688 2.379
Tm 4.368 2.888 4.069
Ga 4.368 2.516 0.846
Ga 4.368 -0.032 2.654
Ga 1.456 2.060 5.602
Ga 4.368 0.021 0.029
Ga 1.456 4.556 6.419
Ga 1.456 4.608 3.794
Ru 2.912 4.314 1.786
Ru 0.000 4.314 1.786
Ru 0.000 0.262 4.662
Ru 2.912 0.262 4.662
```

Summary:
- ρ: 9.22 g/cm³

=====

Most favorable structure: b. The second most favorable one is 0.037 eV/atom above it.